Here is a relaxed Ta6Nb3Pt crystal from Alexandria. Energies are from GGA-PBE.

Summary:
The calculation puts the calculated volume at 358.3 Å³ per cell. The value obtained for the formation energy is -1.7 eV/f.u. Its magnetic moment is 0.0 Bohr magnetons per cell. Its space group is P2_1/m (11). The value obtained for the final energy is -10.902 eV/atom. The calculated density comes out at 14.455 Mg/m³.

Lattice parameters (Å, degrees): 8.0200 4.7191 9.9024 90.00 107.05 90.00
Fractional coordinates of all 20 atoms:
Ta (0.0439, 0.2500, 0.3957)
Ta (0.1381, 0.7500, 0.1972)
Ta (0.2603, 0.2500, 0.9998)
Ta (0.3465, 0.2500, 0.3002)
Ta (0.3573, 0.7500, 0.8089)
Ta (0.4488, 0.2500, 0.5957)
Ta (0.5512, 0.7500, 0.4043)
Ta (0.6427, 0.2500, 0.1911)
Ta (0.6535, 0.7500, 0.6998)
Ta (0.7397, 0.7500, 0.0002)
Ta (0.8619, 0.2500, 0.8028)
Ta (0.9561, 0.7500, 0.6043)
Nb (0.0526, 0.7500, 0.9021)
Nb (0.1582, 0.2500, 0.7026)
Nb (0.2530, 0.7500, 0.5021)
Nb (0.7470, 0.2500, 0.4979)
Nb (0.8418, 0.7500, 0.2974)
Nb (0.9474, 0.2500, 0.0979)
Pt (0.4388, 0.7500, 0.1161)
Pt (0.5612, 0.2500, 0.8839)